(1)
The following is a DFT calculation (GGA-PBE) of crystalline NaCaBi4 at its relaxed geometry.

Unit cell a=6.5773 b=7.0491 c=9.0234 alpha=67.01 beta=89.97 gamma=89.93
With the nearest neighbours (Å) after each atom.
Fractional positions:
1 Bi 0.0003 0.2647 0.0001  5 Bi 3.29-3.36, 2 Ca 3.49, 2 Na 3.49-3.50
2 Bi 0.4997 0.7352 0.0001  5 Bi 3.29-3.36, 2 Ca 3.49, 2 Na 3.49-3.50
3 Bi 0.2499 0.5583 0.3519  3 Bi 3.30-3.36, 3 Ca 3.36-3.70, 1 Na 3.36
4 Na 0.2500 0.1478 0.7044  6 Bi 3.36-3.50, 2 Ca 3.53
5 Bi 0.9997 0.7353 0.9999  5 Bi 3.29-3.36, 2 Ca 3.49, 2 Na 3.49-3.50
6 Ca 0.7500 0.3439 0.3122  10 Bi 3.36-3.70, 2 Na 3.53
7 Bi 0.2501 0.0897 0.3519  3 Bi 3.30-3.36, 3 Ca 3.36-3.70, 1 Na 3.36
8 Bi 0.7499 0.9103 0.6481  3 Bi 3.30-3.36, 3 Ca 3.36-3.70, 1 Na 3.36
9 Na 0.7500 0.8522 0.2956  6 Bi 3.36-3.50, 2 Ca 3.53
10 Bi 0.7501 0.4417 0.6481  3 Bi 3.30-3.36, 3 Ca 3.36-3.70, 1 Na 3.36
11 Bi 0.5003 0.2648 0.9999  5 Bi 3.29-3.36, 2 Ca 3.49, 2 Na 3.49-3.50
12 Ca 0.2500 0.6561 0.6878  10 Bi 3.36-3.70, 2 Na 3.53

Spin magnetization: 0.00 μB/atom
VASP energy: -3.4606 eV/atom
Excess energy over the best structure of this formula in the dataset: 0.000 eV/atom



(2)
The following is a DFT calculation (GGA-PBE) of crystalline PrPaRe at its relaxed geometry.

Unit cell a=3.5367 b=3.5367 c=6.3080 alpha=106.28 beta=106.28 gamma=90.00
With the nearest neighbours (Å) after each atom.
Fractional positions:
1 Pr 0.9963 0.9963 0.9925  5 Re 3.32-3.61, 5 Pa 3.41-3.48, 4 Pr 3.54
2 Re 0.3078 0.3078 0.6156  4 Pa 2.82
3 Pa 0.6959 0.6959 0.3919  4 Re 2.82

Spin magnetization: 0.00 μB/atom
VASP energy: -8.8012 eV/atom
Excess energy over the best structure of this formula in the dataset: 0.000 eV/atom



(3)
The following is a DFT calculation (GGA-PBE) of crystalline SmPa2SiN5 at its relaxed geometry.

Unit cell a=5.5105 b=6.5883 c=6.5883 alpha=90.00 beta=90.00 gamma=90.00
With the nearest neighbours (Å) after each atom.
Fractional positions:
1 Si 0.0000 0.5000 0.0000  4 N 1.84
2 Sm 0.0000 0.0000 0.0000  10 N 2.76-2.86
3 N 0.7643 0.3606 0.1394  1 Si 1.84
4 N 0.2357 0.3606 0.1394  1 Si 1.84
5 N 0.5000 0.5000 0.5000  4 Pa 2.43
6 Pa 0.5000 0.1774 0.3226  4 N 2.24-2.43
7 Pa 0.5000 0.8226 0.6774  4 N 2.24-2.43
8 N 0.2357 0.8606 0.3606  1 Si 1.84
9 Pa 0.5000 0.3226 0.8226  4 N 2.24-2.43
10 N 0.5000 0.0000 0.0000  4 Pa 2.43
11 Si 0.0000 0.0000 0.5000  4 N 1.84
12 N 0.7643 0.6394 0.8606  1 Si 1.84
13 N 0.2357 0.1394 0.6394  1 Si 1.84
14 N 0.7643 0.8606 0.3606  1 Si 1.84
15 N 0.7643 0.1394 0.6394  1 Si 1.84
16 Sm 0.0000 0.5000 0.5000  10 N 2.76-2.86
17 N 0.2357 0.6394 0.8606  1 Si 1.84
18 Pa 0.5000 0.6774 0.1774  4 N 2.24-2.43

Spin magnetization: 0.00 μB/atom
VASP energy: -9.1281 eV/atom
Formation energy (no corrections): -11.39 eV per formula unit